# PmEuIr2

PmEuIr2 after structural relaxation (GGA-PBE, the Alexandria database).

Energy relative to the lowest polymorph listed for this composition ... 0 meV/atom
Electronic total energy ... -8.581 eV/atom
Crystal system ... tetragonal
E_form ... -1.58 eV/f.u.

abc: 3.405 3.405 7.475
angles: 90.00 90.00 90.00
Space group P4/mmm (No. 123)
Inequivalent atoms, fractional coordinates:
Pm: 0.000 0.000 0.000 (multiplicity 1)
Eu: 0.000 0.000 0.500 (multiplicity 1)
Ir: 0.500 0.500 0.241 (multiplicity 2)